# 1
First-principles (PBE) data for crystalline SrVSi3 at its relaxed geometry, as listed in Alexandria.

Lattice parameters (Å, degrees): 5.300 5.300 5.300 90.00 90.00 90.00
Site moments in Bohr magnetons follow the coordinates.
Fractional positions:
Si  0.000  0.000  0.500  -0.07
Si  0.500  0.000  0.000  -0.07
Si  0.000  0.500  0.000  -0.07
V  0.500  0.500  0.500  2.93
Sr  0.000  0.000  0.000  -0.10

Output
Density of states at the Fermi level   6.186 states/eV/cell
Total energy   -17.1 eV/cell
Space group   Pm-3m
Size of the total moment   2.8 μB per formula unit


# 2
First-principles (PBE) data for crystalline SrVSi3 at its relaxed geometry, as listed in Alexandria.

Lattice parameters (Å, degrees): 4.657 4.657 4.657 90.00 90.00 90.00
Fractional positions:
Si  0.500  0.000  0.000
Si  0.000  0.500  0.000
Si  0.000  0.000  0.500
V  0.000  0.000  0.000
Sr  0.500  0.500  0.500

Output
Density of states at the Fermi level   1.343 states/eV/cell
Total energy   -27.8 eV/cell
Space group   Pm-3m
Size of the total moment   0.0 μB per formula unit


# 3
First-principles (PBE) data for crystalline Sr2VSi2 at its relaxed geometry, as listed in Alexandria.

Lattice parameters (Å, degrees): 7.158 7.158 4.847 90.00 90.00 90.00
Site moments in Bohr magnetons follow the coordinates.
Fractional positions:
Si  0.624  0.124  0.000  -0.06
Si  0.876  0.624  0.000  -0.06
Si  0.124  0.376  0.000  -0.06
Si  0.376  0.876  0.000  -0.06
Sr  0.824  0.324  0.500  0.02
Sr  0.676  0.824  0.500  0.02
Sr  0.176  0.676  0.500  0.02
Sr  0.324  0.176  0.500  0.02
V  0.500  0.500  0.000  2.49
V  0.000  0.000  0.000  2.49

Output
Density of states at the Fermi level   10.529 states/eV/cell
Total energy   -47.3 eV/cell
Space group   P4/mbm
Size of the total moment   3.1 μB per formula unit


# 4
First-principles (PBE) data for crystalline SrVSi2 at its relaxed geometry, as listed in Alexandria.

Lattice parameters (Å, degrees): 5.069 5.069 8.854 73.37 73.37 90.00
Site moments in Bohr magnetons follow the coordinates.
Fractional positions:
Sr  0.000  0.000  0.000  0.03
Sr  0.750  0.250  0.500  0.03
V  0.500  0.500  0.000  1.51
V  0.250  0.750  0.500  1.51
Si  0.875  0.625  0.750  -0.05
Si  0.375  0.625  0.750  -0.05
Si  0.375  0.625  0.250  -0.05
Si  0.375  0.125  0.250  -0.05

Output
Density of states at the Fermi level   5.760 states/eV/cell
Relative energy among the computed polymorphs   0.00 eV/f.u.
Space group   I4_1/amd
Size of the total moment   1.8 μB per formula unit


# 5
First-principles (PBE) data for crystalline SrZrV2Si at its relaxed geometry, as listed in Alexandria.

Lattice parameters (Å, degrees): 4.908 5.227 4.908 90.00 90.00 90.00
Site moments in Bohr magnetons follow the coordinates.
Fractional positions:
V  0.000  0.000  0.500  1.77
V  0.500  0.000  0.000  2.23
Zr  0.000  0.000  0.000  -0.08
Sr  0.500  0.500  0.500  0.04
Si  0.000  0.500  0.000  -0.07

Output
Density of states at the Fermi level   8.288 states/eV/cell
Total energy   -29.3 eV/cell
Space group   P4/mmm
Size of the total moment   4.6 μB per formula unit


# 6
First-principles (PBE) data for crystalline SrSi2W at its relaxed geometry, as listed in Alexandria.

Lattice parameters (Å, degrees): 5.180 5.180 8.800 72.88 72.88 90.00
Fractional positions:
W  0.750  0.250  0.500
W  0.000  0.000  0.000
Si  0.874  0.125  0.250
Si  0.875  0.124  0.750
Si  0.876  0.625  0.250
Si  0.375  0.126  0.750
Sr  0.500  0.500  0.000
Sr  0.250  0.750  0.500

Output
Density of states at the Fermi level   7.418 states/eV/cell
Relative energy among the computed polymorphs   1.06 eV/f.u.
Space group   I4_1/amd
Size of the total moment   0.0 μB per formula unit


# 7
First-principles (PBE) data for crystalline SrSi2W at its relaxed geometry, as listed in Alexandria.

Lattice parameters (Å, degrees): 3.579 3.497 6.874 75.19 90.00 90.00
Fractional positions:
Si  0.000  0.212  0.950
Si  0.500  0.093  0.189
W  0.500  0.741  0.892
Sr  0.000  0.453  0.470

Output
Density of states at the Fermi level   1.622 states/eV/cell
Relative energy among the computed polymorphs   0.66 eV/f.u.
Space group   Pm
Size of the total moment   0.0 μB per formula unit


# 8
First-principles (PBE) data for crystalline SrSiW2 at its relaxed geometry, as listed in Alexandria.

Lattice parameters (Å, degrees): 10.080 10.080 10.080 16.67 16.67 16.67
Fractional positions:
Si  0.250  0.250  0.250
W  0.986  0.986  0.986
W  0.514  0.514  0.514
Sr  0.750  0.750  0.750

Output
Density of states at the Fermi level   3.044 states/eV/cell
Total energy   -29.5 eV/cell
Space group   R-3m
Size of the total moment   0.0 μB per formula unit


# 9
First-principles (PBE) data for crystalline SrSi4W at its relaxed geometry, as listed in Alexandria.

Lattice parameters (Å, degrees): 5.206 5.206 5.206 60.00 60.00 60.00
Fractional positions:
Si  0.371  0.371  0.371
Si  0.371  0.371  0.887
Si  0.887  0.371  0.371
Si  0.371  0.887  0.371
W  0.000  0.000  0.000
Sr  0.750  0.750  0.750

Output
Density of states at the Fermi level   3.735 states/eV/cell
Total energy   -33.0 eV/cell
Space group   F-43m
Size of the total moment   0.0 μB per formula unit


# 10
First-principles (PBE) data for crystalline SrSiW2 at its relaxed geometry, as listed in Alexandria.

Lattice parameters (Å, degrees): 4.722 4.722 9.682 75.89 75.89 90.00
Fractional positions:
Si  0.500  0.500  0.000
Si  0.250  0.750  0.500
W  0.875  0.566  0.750
W  0.375  0.684  0.750
W  0.316  0.125  0.250
W  0.434  0.625  0.250
Sr  0.000  0.000  0.000
Sr  0.750  0.250  0.500

Output
Density of states at the Fermi level   5.625 states/eV/cell
Total energy   -58.4 eV/cell
Space group   I-42d
Size of the total moment   0.0 μB per formula unit


# 11
First-principles (PBE) data for crystalline SrSi3W at its relaxed geometry, as listed in Alexandria.

Lattice parameters (Å, degrees): 4.981 4.981 4.981 90.00 90.00 90.00
Fractional positions:
Si  0.500  0.000  0.000
Si  0.000  0.500  0.000
Si  0.000  0.000  0.500
Sr  0.000  0.000  0.000
W  0.500  0.500  0.500

Output
Density of states at the Fermi level   6.650 states/eV/cell
Relative energy among the computed polymorphs   13.42 eV/f.u.
Space group   Pm-3m
Size of the total moment   0.0 μB per formula unit


# 12
First-principles (PBE) data for crystalline SrSi2W2 at its relaxed geometry, as listed in Alexandria.

Lattice parameters (Å, degrees): 4.697 4.697 5.657 65.47 65.47 90.00
Fractional positions:
Si  0.750  0.250  0.500
Si  0.250  0.750  0.500
W  0.367  0.367  0.265
W  0.633  0.633  0.735
Sr  0.000  0.000  0.000

Output
Density of states at the Fermi level   3.417 states/eV/cell
Total energy   -37.3 eV/cell
Space group   I4/mmm
Size of the total moment   0.0 μB per formula unit


# 13
First-principles (PBE) data for crystalline SrSiW2 at its relaxed geometry, as listed in Alexandria.

Lattice parameters (Å, degrees): 4.696 2.861 6.071 89.85 90.00 90.00
Fractional positions:
Sr  0.500  0.750  0.750
Si  0.500  0.250  0.250
W  0.000  0.101  0.065
W  0.000  0.399  0.435

Output
Density of states at the Fermi level   3.174 states/eV/cell
Total energy   -29.7 eV/cell
Space group   P2/m
Size of the total moment   0.0 μB per formula unit


# 14
First-principles (PBE) data for crystalline SrSiW2 at its relaxed geometry, as listed in Alexandria.

Lattice parameters (Å, degrees): 2.924 2.924 9.228 90.00 90.00 105.45
Fractional positions:
W  0.500  0.500  0.260
W  0.000  0.000  0.038
Sr  0.500  0.500  0.741
Si  0.000  0.000  0.460

Output
Density of states at the Fermi level   2.844 states/eV/cell
Total energy   -30.8 eV/cell
Space group   Cmm2
Size of the total moment   0.0 μB per formula unit


# 15
First-principles (PBE) data for crystalline SrSi2W at its relaxed geometry, as listed in Alexandria.

Lattice parameters (Å, degrees): 4.528 4.528 3.718 90.00 90.00 90.00
Fractional positions:
Si  0.500  0.500  0.000
Si  0.000  0.000  0.000
Sr  0.500  0.000  0.500
W  0.000  0.500  0.500

Output
Density of states at the Fermi level   3.966 states/eV/cell
Relative energy among the computed polymorphs   3.38 eV/f.u.
Space group   P4/mmm
Size of the total moment   0.0 μB per formula unit


# 16
First-principles (PBE) data for crystalline SrSiW2 at its relaxed geometry, as listed in Alexandria.

Lattice parameters (Å, degrees): 4.476 4.476 6.641 80.99 80.99 42.88
Fractional positions:
Si  0.488  0.488  0.597
W  0.022  0.022  0.895
W  0.753  0.753  0.744
Sr  0.237  0.237  0.263

Output
Density of states at the Fermi level   3.265 states/eV/cell
Total energy   -31.2 eV/cell
Space group   Cm
Size of the total moment   0.0 μB per formula unit


# 17
First-principles (PBE) data for crystalline SrSi3W at its relaxed geometry, as listed in Alexandria.

Lattice parameters (Å, degrees): 4.817 4.817 4.817 90.00 90.00 90.00
Fractional positions:
Si  0.500  0.000  0.000
Si  0.000  0.500  0.000
Si  0.000  0.000  0.500
Sr  0.500  0.500  0.500
W  0.000  0.000  0.000

Output
Density of states at the Fermi level   2.292 states/eV/cell
Relative energy among the computed polymorphs   0.00 eV/f.u.
Space group   Pm-3m
Size of the total moment   0.0 μB per formula unit


# 18
First-principles (PBE) data for crystalline SrSi2W at its relaxed geometry, as listed in Alexandria.

Lattice parameters (Å, degrees): 4.499 4.499 6.019 74.55 74.55 47.10
Fractional positions:
Si  0.523  0.523  0.378
Si  0.977  0.977  0.122
Sr  0.750  0.750  0.750
W  0.250  0.250  0.250

Output
Density of states at the Fermi level   2.055 states/eV/cell
Relative energy among the computed polymorphs   0.00 eV/f.u.
Space group   C2/m
Size of the total moment   0.0 μB per formula unit


# 19
First-principles (PBE) data for crystalline SrSiW2 at its relaxed geometry, as listed in Alexandria.

Lattice parameters (Å, degrees): 5.605 5.605 5.605 145.17 126.19 65.71
Fractional positions:
W  0.964  0.964  0.000
W  0.761  0.261  0.500
Si  0.532  0.532  0.000
Sr  0.243  0.743  0.500

Output
Density of states at the Fermi level   2.423 states/eV/cell
Total energy   -29.2 eV/cell
Space group   Imm2
Size of the total moment   0.0 μB per formula unit


# 20
First-principles (PBE) data for crystalline SrSi2W at its relaxed geometry, as listed in Alexandria.

Lattice parameters (Å, degrees): 3.320 3.357 7.277 90.00 90.00 90.00
Fractional positions:
Si  0.000  0.000  0.977
Si  0.500  0.500  0.179
Sr  0.000  0.000  0.499
W  0.500  0.500  0.845

Output
Density of states at the Fermi level   3.626 states/eV/cell
Relative energy among the computed polymorphs   1.31 eV/f.u.
Space group   Pmm2
Size of the total moment   0.0 μB per formula unit


# 21
First-principles (PBE) data for crystalline SrSi2W at its relaxed geometry, as listed in Alexandria.

Lattice parameters (Å, degrees): 5.151 5.151 2.875 90.00 90.00 104.85
Fractional positions:
W  0.000  0.500  0.500
Si  0.000  0.000  0.000
Si  0.500  0.500  0.000
Sr  0.500  0.000  0.500

Output
Density of states at the Fermi level   2.509 states/eV/cell
Relative energy among the computed polymorphs   2.93 eV/f.u.
Space group   Cmmm
Size of the total moment   0.0 μB per formula unit


# 22
First-principles (PBE) data for crystalline SrSiW2 at its relaxed geometry, as listed in Alexandria.

Lattice parameters (Å, degrees): 5.636 5.636 2.714 90.00 90.00 118.83
Fractional positions:
Si  0.500  0.000  0.500
Sr  0.000  0.500  0.500
W  0.000  0.000  0.000
W  0.500  0.500  0.000

Output
Density of states at the Fermi level   2.439 states/eV/cell
Total energy   -28.3 eV/cell
Space group   Cmmm
Size of the total moment   0.0 μB per formula unit


# 23
First-principles (PBE) data for crystalline SrSi2W at its relaxed geometry, as listed in Alexandria.

Lattice parameters (Å, degrees): 4.517 4.517 7.126 62.85 62.85 43.12
Fractional positions:
Sr  0.538  0.538  0.483
Si  0.670  0.670  0.865
Si  0.973  0.973  0.139
W  0.319  0.319  0.013

Output
Density of states at the Fermi level   3.251 states/eV/cell
Relative energy among the computed polymorphs   0.46 eV/f.u.
Space group   Cm
Size of the total moment   0.0 μB per formula unit


# 24
First-principles (PBE) data for crystalline SrSi2W at its relaxed geometry, as listed in Alexandria.

Lattice parameters (Å, degrees): 5.532 5.532 5.532 144.00 116.79 74.95
Fractional positions:
W  0.250  0.750  0.500
Sr  0.750  0.250  0.500
Si  0.044  0.044  0.000
Si  0.456  0.456  0.000

Output
Density of states at the Fermi level   3.165 states/eV/cell
Relative energy among the computed polymorphs   2.14 eV/f.u.
Space group   Immm
Size of the total moment   0.0 μB per formula unit


# 25
First-principles (PBE) data for crystalline SrSiW2 at its relaxed geometry, as listed in Alexandria.

Lattice parameters (Å, degrees): 3.297 3.297 7.458 90.00 90.00 90.00
Fractional positions:
Si  0.000  0.000  0.434
Sr  0.500  0.500  0.739
W  0.500  0.500  0.251
W  0.000  0.000  0.076

Output
Density of states at the Fermi level   3.992 states/eV/cell
Total energy   -31.7 eV/cell
Space group   P4mm
Size of the total moment   0.0 μB per formula unit


# 26
First-principles (PBE) data for crystalline SrSiW2 at its relaxed geometry, as listed in Alexandria.

Lattice parameters (Å, degrees): 2.875 2.875 9.251 90.00 90.00 104.51
Fractional positions:
Sr  0.500  0.500  0.750
W  0.000  0.000  0.053
W  0.000  0.000  0.447
Si  0.500  0.500  0.250

Output
Density of states at the Fermi level   2.865 states/eV/cell
Total energy   -30.1 eV/cell
Space group   Cmmm
Size of the total moment   0.0 μB per formula unit


# 27
First-principles (PBE) data for crystalline SrSiW2 at its relaxed geometry, as listed in Alexandria.

Lattice parameters (Å, degrees): 6.163 6.163 5.183 65.11 65.11 25.47
Fractional positions:
W  0.045  0.045  0.955
W  0.455  0.455  0.545
Si  0.750  0.750  0.750
Sr  0.250  0.250  0.250

Output
Density of states at the Fermi level   2.701 states/eV/cell
Total energy   -30.6 eV/cell
Space group   Immm
Size of the total moment   0.0 μB per formula unit


# 28
First-principles (PBE) data for crystalline Sr4SiW at its relaxed geometry, as listed in Alexandria.

Lattice parameters (Å, degrees): 6.643 6.643 6.643 60.00 60.00 60.00
Site moments in Bohr magnetons follow the coordinates.
Fractional positions:
Sr  0.625  0.625  0.625  -0.02
Sr  0.625  0.625  0.125  -0.02
Sr  0.125  0.625  0.625  -0.02
Sr  0.625  0.125  0.625  -0.02
W  0.250  0.250  0.250  2.71
Si  0.000  0.000  0.000  -0.01

Output
Density of states at the Fermi level   6.354 states/eV/cell
Total energy   -16.8 eV/cell
Space group   F-43m
Size of the total moment   3.6 μB per formula unit


# 29
First-principles (PBE) data for crystalline SrSiW2 at its relaxed geometry, as listed in Alexandria.

Lattice parameters (Å, degrees): 5.530 5.530 5.530 137.17 137.17 62.17
Fractional positions:
Sr  0.750  0.250  0.500
Si  0.250  0.750  0.500
W  0.500  0.500  0.000
W  0.000  0.000  0.000

Output
Density of states at the Fermi level   3.198 states/eV/cell
Total energy   -28.4 eV/cell
Space group   I4/mmm
Size of the total moment   0.0 μB per formula unit